{"formula": "ZrMn2Pb", "functional": "PBE", "state": "relaxed", "energy_ev_per_atom": -7.32, "volume_a3_per_atom": 18.89, "delta_e_f_ev_per_fu": 1.3, "lattice": [[0.000, 3.356, 3.356], [3.356, 0.000, 3.356], [3.356, 3.356, 0.000]], "species": ["Zr", "Mn", "Mn", "Pb"], "fractional_positions": [[0.000, 0.000, 0.000], [0.250, 0.250, 0.250], [0.500, 0.500, 0.500], [0.750, 0.750, 0.750]]}



{"formula": "ZrMn2Pb", "functional": "PBE", "state": "relaxed", "energy_ev_per_atom": -7.46, "volume_a3_per_atom": 18.71, "delta_e_f_ev_per_fu": 0.8, "lattice": [[1.905, 1.100, 5.950], [-1.905, 1.100, 5.950], [0.000, -2.200, 5.950]], "species": ["Zr", "Mn", "Mn", "Pb"], "fractional_positions": [[0.000, 0.000, 0.000], [0.241, 0.241, 0.241], [0.562, 0.562, 0.562], [0.798, 0.798, 0.798]]}



{"formula": "Zr2Mn2Pb", "functional": "PBE", "state": "relaxed", "energy_ev_per_atom": -7.67, "volume_a3_per_atom": 19.06, "delta_e_f_ev_per_fu": 0.8, "lattice": [[-1.618, 1.618, 9.097], [1.618, -1.618, 9.097], [1.618, 1.618, -9.097]], "species": ["Zr", "Zr", "Mn", "Mn", "Pb"], "fractional_positions": [[0.124, 0.124, 0.000], [0.876, 0.876, 0.000], [0.250, 0.750, 0.500], [0.750, 0.250, 0.500], [0.500, 0.500, 0.000]]}



{"formula": "Zr4MnPb", "functional": "PBE", "state": "relaxed", "energy_ev_per_atom": -7.44, "volume_a3_per_atom": 22.89, "delta_e_f_ev_per_fu": 2.4, "lattice": [[0.000, 4.095, 4.095], [4.095, 0.000, 4.095], [4.095, 4.095, 0.000]], "species": ["Zr", "Zr", "Zr", "Zr", "Mn", "Pb"], "fractional_positions": [[0.124, 0.124, 0.124], [0.124, 0.124, 0.628], [0.124, 0.628, 0.124], [0.628, 0.124, 0.124], [0.750, 0.750, 0.750], [0.500, 0.500, 0.500]]}



{"formula": "ZrMn2Pb", "functional": "PBE", "state": "relaxed", "energy_ev_per_atom": -7.35, "volume_a3_per_atom": 19.34, "delta_e_f_ev_per_fu": 1.2, "lattice": [[4.646, -1.571, 0.000], [4.646, 1.571, 0.000], [-0.880, 0.000, 5.299]], "species": ["Zr", "Mn", "Mn", "Pb"], "fractional_positions": [[0.000, 0.000, 0.000], [0.252, 0.252, 0.780], [0.748, 0.748, 0.220], [0.500, 0.500, 0.500]]}



{"formula": "ZrMnPb", "functional": "PBE", "state": "relaxed", "energy_ev_per_atom": -6.98, "volume_a3_per_atom": 20.75, "delta_e_f_ev_per_fu": 0.5, "lattice": [[4.724, 0.000, 0.000], [-2.362, 4.091, 0.000], [0.000, 0.000, 3.221]], "species": ["Zr", "Mn", "Pb"], "fractional_positions": [[0.000, 0.000, 0.000], [0.667, 0.333, 0.496], [0.333, 0.667, 0.502]]}



{"formula": "ZrMn2Pb", "functional": "PBE", "state": "relaxed", "energy_ev_per_atom": -7.04, "volume_a3_per_atom": 20.84, "delta_e_f_ev_per_fu": 2.4, "lattice": [[-3.789, 3.789, 2.903], [3.789, -3.789, 2.903], [3.789, 3.789, -2.903]], "species": ["Zr", "Zr", "Mn", "Mn", "Mn", "Mn", "Pb", "Pb"], "fractional_positions": [[0.000, 0.000, 0.000], [0.750, 0.250, 0.500], [0.125, 0.625, 0.000], [0.375, 0.375, 0.500], [0.625, 0.125, 0.000], [0.875, 0.875, 0.500], [0.250, 0.750, 0.500], [0.500, 0.500, 0.000]]}



{"formula": "Zr4MnPb", "functional": "PBE", "state": "relaxed", "energy_ev_per_atom": -7.72, "volume_a3_per_atom": 23.63, "delta_e_f_ev_per_fu": 0.7, "lattice": [[7.951, 0.000, 0.000], [0.000, 6.744, 0.000], [-1.718, 0.000, 5.287]], "species": ["Zr", "Zr", "Zr", "Zr", "Zr", "Zr", "Zr", "Zr", "Mn", "Mn", "Pb", "Pb"], "fractional_positions": [[0.137, 0.149, 0.151], [0.137, 0.351, 0.651], [0.244, 0.667, 0.291], [0.244, 0.833, 0.791], [0.756, 0.167, 0.209], [0.756, 0.333, 0.709], [0.863, 0.649, 0.349], [0.863, 0.851, 0.849], [0.000, 0.000, 0.500], [0.000, 0.500, 0.000], [0.500, 0.000, 0.500], [0.500, 0.500, 0.000]]}



{"formula": "ZrMn2Pb", "functional": "PBE", "state": "relaxed", "energy_ev_per_atom": -7.25, "volume_a3_per_atom": 20.65, "delta_e_f_ev_per_fu": 1.6, "lattice": [[1.601, 0.924, 9.304], [-1.601, 0.924, 9.304], [0.000, -1.849, 9.304]], "species": ["Zr", "Mn", "Mn", "Pb"], "fractional_positions": [[0.000, 0.000, 0.000], [0.255, 0.255, 0.255], [0.745, 0.745, 0.745], [0.500, 0.500, 0.500]]}



{"formula": "Zr2Mn2Pb", "functional": "PBE", "state": "relaxed", "energy_ev_per_atom": -7.32, "volume_a3_per_atom": 19.38, "delta_e_f_ev_per_fu": 2.5, "lattice": [[7.809, 0.000, 0.000], [0.000, 7.809, 0.000], [0.000, 0.000, 3.178]], "species": ["Zr", "Zr", "Zr", "Zr", "Mn", "Mn", "Mn", "Mn", "Pb", "Pb"], "fractional_positions": [[0.143, 0.357, 0.000], [0.357, 0.857, 0.000], [0.643, 0.143, 0.000], [0.857, 0.643, 0.000], [0.133, 0.633, 0.500], [0.367, 0.133, 0.500], [0.633, 0.867, 0.500], [0.867, 0.367, 0.500], [0.000, 0.000, 0.000], [0.500, 0.500, 0.000]]}



{"formula": "ZrMnPb3", "functional": "PBE", "state": "relaxed", "energy_ev_per_atom": -4.41, "volume_a3_per_atom": 35.49, "delta_e_f_ev_per_fu": 6.8, "lattice": [[5.619, 0.000, 0.000], [0.000, 5.619, 0.000], [0.000, 0.000, 5.619]], "species": ["Zr", "Mn", "Pb", "Pb", "Pb"], "fractional_positions": [[0.000, 0.000, 0.000], [0.500, 0.500, 0.500], [0.000, 0.000, 0.500], [0.000, 0.500, 0.000], [0.500, 0.000, 0.000]]}



{"formula": "ZrMnPb3", "functional": "PBE", "state": "relaxed", "energy_ev_per_atom": -4.97, "volume_a3_per_atom": 26.42, "delta_e_f_ev_per_fu": 4.0, "lattice": [[5.093, 0.000, 0.000], [0.000, 5.093, 0.000], [0.000, 0.000, 5.093]], "species": ["Zr", "Mn", "Pb", "Pb", "Pb"], "fractional_positions": [[0.000, 0.000, 0.000], [0.500, 0.500, 0.500], [0.000, 0.500, 0.500], [0.500, 0.000, 0.500], [0.500, 0.500, 0.000]]}



{"formula": "ZrMn2Pb", "functional": "PBE", "state": "relaxed", "energy_ev_per_atom": -7.50, "volume_a3_per_atom": 19.15, "delta_e_f_ev_per_fu": 0.6, "lattice": [[3.479, 0.000, 0.000], [0.000, 3.479, 0.000], [0.000, 0.000, 6.326]], "species": ["Zr", "Mn", "Mn", "Pb"], "fractional_positions": [[0.000, 0.000, 0.000], [0.500, 0.500, 0.223], [0.500, 0.500, 0.777], [0.000, 0.000, 0.500]]}



{"formula": "ZrMnPb", "functional": "PBE", "state": "relaxed", "energy_ev_per_atom": -7.00, "volume_a3_per_atom": 20.73, "delta_e_f_ev_per_fu": 0.4, "lattice": [[-1.720, 1.720, 5.256], [1.720, -1.720, 5.256], [1.720, 1.720, -5.256]], "species": ["Zr", "Mn", "Pb"], "fractional_positions": [[0.000, 0.000, 0.000], [0.646, 0.646, 0.000], [0.304, 0.304, 0.000]]}



{"formula": "Zr3MnPb", "functional": "PBE", "state": "relaxed", "energy_ev_per_atom": -7.53, "volume_a3_per_atom": 22.97, "delta_e_f_ev_per_fu": 0.9, "lattice": [[4.861, 0.000, 0.000], [0.000, 4.861, 0.000], [0.000, 0.000, 4.861]], "species": ["Zr", "Zr", "Zr", "Mn", "Pb"], "fractional_positions": [[0.000, 0.000, 0.500], [0.000, 0.500, 0.000], [0.500, 0.000, 0.000], [0.000, 0.000, 0.000], [0.500, 0.500, 0.500]]}



{"formula": "ZrMn3Pb", "functional": "PBE", "state": "relaxed", "energy_ev_per_atom": -6.76, "volume_a3_per_atom": 23.58, "delta_e_f_ev_per_fu": 6.0, "lattice": [[4.903, 0.000, 0.000], [0.000, 4.903, 0.000], [0.000, 0.000, 4.903]], "species": ["Zr", "Mn", "Mn", "Mn", "Pb"], "fractional_positions": [[0.000, 0.000, 0.000], [0.000, 0.000, 0.500], [0.000, 0.500, 0.000], [0.500, 0.000, 0.000], [0.500, 0.500, 0.500]]}



{"formula": "ZrMn2Pb", "functional": "PBE", "state": "relaxed", "energy_ev_per_atom": -7.44, "volume_a3_per_atom": 18.44, "delta_e_f_ev_per_fu": 0.8, "lattice": [[-1.895, 2.176, 4.470], [1.895, -2.176, 4.470], [1.895, 2.176, -4.470]], "species": ["Zr", "Mn", "Mn", "Pb"], "fractional_positions": [[0.000, 0.000, 0.000], [0.514, 0.514, 0.000], [0.744, 0.244, 0.500], [0.263, 0.763, 0.500]]}



{"formula": "Mn7Pd9", "functional": "PBE", "state": "relaxed", "energy_ev_per_atom": -7.15, "volume_a3_per_atom": 15.17, "delta_e_f_ev_per_fu": -3.4, "lattice": [[-4.154, 4.154, 3.516], [4.154, -4.154, 3.516], [4.154, 4.154, -3.516]], "species": ["Mn", "Mn", "Mn", "Mn", "Mn", "Mn", "Mn", "Pd", "Pd", "Pd", "Pd", "Pd", "Pd", "Pd", "Pd", "Pd"], "fractional_positions": [[0.000, 0.000, 0.000], [0.000, 0.500, 0.500], [0.265, 0.265, 0.530], [0.265, 0.735, 0.000], [0.500, 0.000, 0.500], [0.735, 0.265, 0.000], [0.735, 0.735, 0.470], [0.019, 0.767, 0.252], [0.233, 0.485, 0.252], [0.233, 0.981, 0.748], [0.485, 0.233, 0.252], [0.500, 0.500, 0.000], [0.515, 0.767, 0.748], [0.767, 0.019, 0.252], [0.767, 0.515, 0.748], [0.981, 0.233, 0.748]]}



{"formula": "MnPd3", "functional": "PBE", "state": "relaxed", "energy_ev_per_atom": -6.27, "volume_a3_per_atom": 15.25, "delta_e_f_ev_per_fu": -0.3, "lattice": [[1.417, 0.818, 8.765], [-1.417, 0.818, 8.765], [0.000, -1.637, 8.765]], "species": ["Mn", "Pd", "Pd", "Pd"], "fractional_positions": [[0.000, 0.000, 0.000], [0.255, 0.255, 0.255], [0.500, 0.500, 0.500], [0.745, 0.745, 0.745]]}



{"formula": "MnPd3", "functional": "PBE", "state": "relaxed", "energy_ev_per_atom": -6.40, "volume_a3_per_atom": 15.19, "delta_e_f_ev_per_fu": -0.8, "lattice": [[-1.966, 1.966, 7.859], [1.966, -1.966, 7.859], [1.966, 1.966, -7.859]], "species": ["Mn", "Mn", "Pd", "Pd", "Pd", "Pd", "Pd", "Pd"], "fractional_positions": [[0.124, 0.124, 0.000], [0.876, 0.876, 0.000], [0.000, 0.500, 0.500], [0.250, 0.750, 0.500], [0.375, 0.375, 0.000], [0.500, 0.000, 0.500], [0.625, 0.625, 0.000], [0.750, 0.250, 0.500]]}



{"formula": "Mn3Pd", "functional": "PBE", "state": "relaxed", "energy_ev_per_atom": -8.12, "volume_a3_per_atom": 14.07, "delta_e_f_ev_per_fu": 0.2, "lattice": [[2.802, 0.000, 0.000], [0.000, 4.376, 0.000], [0.000, 0.000, 4.590]], "species": ["Mn", "Mn", "Mn", "Pd"], "fractional_positions": [[0.000, 0.000, 0.000], [0.000, 0.500, 0.381], [0.500, 0.000, 0.507], [0.500, 0.500, 0.875]]}



{"formula": "Mn5Pd6", "functional": "PBE", "state": "relaxed", "energy_ev_per_atom": -7.11, "volume_a3_per_atom": 15.85, "delta_e_f_ev_per_fu": -1.2, "lattice": [[-2.138, 3.207, 6.357], [2.138, -3.207, 6.357], [2.138, 3.207, -6.357]], "species": ["Mn", "Mn", "Mn", "Mn", "Mn", "Pd", "Pd", "Pd", "Pd", "Pd", "Pd"], "fractional_positions": [[0.000, 0.000, 0.000], [0.163, 0.663, 0.500], [0.328, 0.328, 0.000], [0.672, 0.672, 0.000], [0.837, 0.337, 0.500], [0.095, 0.836, 0.258], [0.265, 0.500, 0.765], [0.422, 0.164, 0.258], [0.578, 0.836, 0.742], [0.735, 0.500, 0.235], [0.905, 0.164, 0.742]]}



{"formula": "MnPd", "functional": "PBE", "state": "relaxed", "energy_ev_per_atom": -6.59, "volume_a3_per_atom": 17.57, "delta_e_f_ev_per_fu": 1.2, "lattice": [[-5.033, 5.033, 1.387], [5.033, -5.033, 1.387], [5.033, 5.033, -1.387]], "species": ["Mn", "Mn", "Mn", "Mn", "Pd", "Pd", "Pd", "Pd"], "fractional_positions": [[0.195, 0.701, 0.896], [0.299, 0.195, 0.495], [0.701, 0.805, 0.505], [0.805, 0.299, 0.104], [0.303, 0.488, 0.791], [0.488, 0.697, 0.184], [0.512, 0.303, 0.816], [0.697, 0.512, 0.209]]}



{"formula": "MnPd", "functional": "PBE", "state": "relaxed", "energy_ev_per_atom": -6.95, "volume_a3_per_atom": 17.20, "delta_e_f_ev_per_fu": 0.5, "lattice": [[5.138, 0.000, 0.000], [0.000, 5.138, 0.000], [0.000, 0.000, 5.212]], "species": ["Mn", "Mn", "Mn", "Mn", "Pd", "Pd", "Pd", "Pd"], "fractional_positions": [[0.196, 0.196, 0.000], [0.304, 0.696, 0.500], [0.696, 0.304, 0.500], [0.804, 0.804, 0.000], [0.196, 0.196, 0.500], [0.304, 0.696, 0.000], [0.696, 0.304, 0.000], [0.804, 0.804, 0.500]]}



{"formula": "MnPd", "functional": "PBE", "state": "relaxed", "energy_ev_per_atom": -7.18, "volume_a3_per_atom": 15.36, "delta_e_f_ev_per_fu": 0.0, "lattice": [[2.881, 0.000, 0.000], [-1.441, 2.495, 0.000], [0.000, 0.000, 4.271]], "species": ["Mn", "Pd"], "fractional_positions": [[0.000, 0.000, 0.000], [0.333, 0.667, 0.500]]}



{"formula": "Mn5Pd", "functional": "PBE", "state": "relaxed", "energy_ev_per_atom": -8.46, "volume_a3_per_atom": 12.80, "delta_e_f_ev_per_fu": 0.3, "lattice": [[1.874, -5.620, 0.000], [1.874, 5.620, 0.000], [0.000, 0.000, 3.648]], "species": ["Mn", "Mn", "Mn", "Mn", "Mn", "Pd"], "fractional_positions": [[0.000, 0.000, 0.000], [0.167, 0.833, 0.500], [0.334, 0.666, 0.000], [0.666, 0.334, 0.000], [0.833, 0.167, 0.500], [0.500, 0.500, 0.500]]}



{"formula": "MnPd3", "functional": "PBE", "state": "relaxed", "energy_ev_per_atom": -6.26, "volume_a3_per_atom": 15.44, "delta_e_f_ev_per_fu": -0.3, "lattice": [[4.397, 2.539, 0.922], [-4.397, 2.539, 0.922], [0.000, -5.077, 0.922]], "species": ["Mn", "Pd", "Pd", "Pd"], "fractional_positions": [[0.000, 0.000, 0.000], [0.000, 0.500, 0.500], [0.500, 0.000, 0.500], [0.500, 0.500, 0.000]]}